Density functional theory data (GGA-PBEsol) for an optimized crystal structure of Tc2IrOs.

Properties
Its theoretical density is 17.19 Mg/m³. The excess energy over the best structure of this formula in the dataset comes out at 176 meV/atom.

abc: 2.701 4.669 4.697
angles: 99.62 106.71 90.00
Fractional coordinates of all 4 atoms:
Ir  0.500  0.000  0.000
Tc  0.251  0.254  0.503
Tc  0.749  0.746  0.497
Os  0.000  0.500  0.000